# 1
A relaxed structure of Tm2LuH, computed with PBE-GGA.

Computed properties:
- M_tot (μB per cell) = 0.000
- polymorph energy (0 for the lowest one) (kcal/mol of atoms) = 7.14
- SG = No. 123
- final energy (eV per atom) = -4.08

Cell: 3.2879 3.2879 8.2728 Å, 90.00 90.00 90.00°
Closest atoms and distances in Å follow each position.
Fractional coordinates of all 4 atoms:
H (0.5000, 0.5000, 0.0000)  8 Tm 2.82
Lu (0.5000, 0.5000, 0.5000)  4 Lu 3.29, 8 Tm 3.44
Tm (0.0000, 0.0000, 0.8060)  4 H 2.82
Tm (0.0000, 0.0000, 0.1940)  4 H 2.82


# 2
A relaxed structure of LaPm9Sc2, computed with PBE-GGA.

Computed properties:
- ΔE_f (kJ/mol of formula units) = 45.3
- M_tot (μB per cell) = 0.000
- SG = No. 123
- final energy (eV per atom) = -4.99

Cell: 5.0750 5.0750 15.2866 Å, 90.00 90.00 90.00°
Closest atoms and distances in Å follow each position.
Fractional coordinates of all 12 atoms:
La (0.0000, 0.0000, 0.0000)  12 Pm 3.59-3.68
Pm (0.5000, 0.5000, 0.0000)  4 La 3.59, 8 Pm 3.68
Pm (0.5000, 0.5000, 0.3387)  8 Pm 3.54-3.57, 4 Sc 3.59
Pm (0.5000, 0.5000, 0.6613)  8 Pm 3.54-3.57, 4 Sc 3.59
Pm (0.5000, 0.0000, 0.1745)  2 Sc 3.55, 8 Pm 3.57-3.68, 2 La 3.68
Pm (0.5000, 0.0000, 0.5000)  8 Pm 3.54-3.59, 4 Sc 3.56
Pm (0.5000, 0.0000, 0.8255)  2 Sc 3.55, 8 Pm 3.57-3.68, 2 La 3.68
Pm (0.0000, 0.5000, 0.1745)  2 Sc 3.55, 8 Pm 3.57-3.68, 2 La 3.68
Pm (0.0000, 0.5000, 0.5000)  8 Pm 3.54-3.59, 4 Sc 3.56
Pm (0.0000, 0.5000, 0.8255)  2 Sc 3.55, 8 Pm 3.57-3.68, 2 La 3.68
Sc (0.0000, 0.0000, 0.3368)  12 Pm 3.55-3.59
Sc (0.0000, 0.0000, 0.6632)  12 Pm 3.55-3.59


# 3
A relaxed structure of In2BiP2, computed with PBE-GGA.

Computed properties:
- ΔE_f (kJ/mol of formula units) = 92.1
- M_tot (μB per cell) = 0.000
- polymorph energy (0 for the lowest one) (kcal/mol of atoms) = 0.47
- SG = No. 127
- final energy (eV per atom) = -3.84

Cell: 7.8246 7.8246 3.7975 Å, 90.00 90.00 90.00°
Closest atoms and distances in Å follow each position.
Fractional coordinates of all 10 atoms:
P (0.3360, 0.8360, 0.0000)  6 In 2.85-3.07, 2 Bi 2.93
P (0.8360, 0.6640, 0.0000)  6 In 2.85-3.07, 2 Bi 2.93
P (0.6640, 0.1640, 0.0000)  6 In 2.85-3.07, 2 Bi 2.93
P (0.1640, 0.3360, 0.0000)  6 In 2.85-3.07, 2 Bi 2.93
Bi (0.0000, 0.0000, 0.0000)  4 P 2.93
Bi (0.5000, 0.5000, 0.0000)  4 P 2.93
In (0.1442, 0.6442, 0.5000)  6 P 2.85-3.07
In (0.6442, 0.8558, 0.5000)  6 P 2.85-3.07
In (0.8558, 0.3558, 0.5000)  6 P 2.85-3.07
In (0.3558, 0.1442, 0.5000)  6 P 2.85-3.07


# 4
A relaxed structure of Rb2LiTcI6, computed with PBE-GGA.

Computed properties:
- M_tot (μB per cell) = 4.000
- polymorph energy (0 for the lowest one) (kcal/mol of atoms) = 0.00
- ΔE_f (raw) (eV/atom) = -0.81
- SG = No. 166
- final energy (eV per atom) = -3.16

Cell: 8.1581 8.1581 14.5151 Å, 73.68 73.68 60.00°
Closest atoms and distances in Å follow each position.
Fractional coordinates of all 20 atoms:
Rb (0.8780, 0.8780, 0.3661)  12 I 4.08-4.20
Rb (0.1220, 0.1220, 0.6339)  12 I 4.08-4.20
Rb (0.6995, 0.6995, 0.9014)  9 I 3.86-4.09
Rb (0.3005, 0.3005, 0.0986)  9 I 3.86-4.09
Li (0.5774, 0.5774, 0.2678)  3 I 2.79
Li (0.4226, 0.4226, 0.7322)  3 I 2.79
Tc (0.0000, 0.0000, 0.0000)  6 I 2.77
Tc (0.5000, 0.5000, 0.5000)  6 I 2.78
I (0.8613, 0.3771, 0.3845)  1 Tc 2.78, 1 Li 2.79
I (0.3771, 0.8613, 0.3845)  1 Tc 2.78, 1 Li 2.79
I (0.3771, 0.3771, 0.3845)  1 Tc 2.78, 1 Li 2.79
I (0.1387, 0.6229, 0.6155)  1 Tc 2.78, 1 Li 2.79
I (0.6229, 0.1387, 0.6155)  1 Tc 2.78, 1 Li 2.79
I (0.6229, 0.6229, 0.6155)  1 Tc 2.78, 1 Li 2.79
I (0.7211, 0.1984, 0.8821)  1 Tc 2.77
I (0.1984, 0.7211, 0.8821)  1 Tc 2.77
I (0.1984, 0.1984, 0.8821)  1 Tc 2.77
I (0.2789, 0.8016, 0.1179)  1 Tc 2.77
I (0.8016, 0.2789, 0.1179)  1 Tc 2.77
I (0.8016, 0.8016, 0.1179)  1 Tc 2.77


# 5
A relaxed structure of ZrTcCl2, computed with PBE-GGA.

Computed properties:
- M_tot (μB per cell) = 0.000
- polymorph energy (0 for the lowest one) (kcal/mol of atoms) = 4.19
- ΔE_f (raw) (eV/atom) = -0.37
- SG = No. 99
- final energy (eV per atom) = -6.03

Cell: 3.5411 3.5415 7.1011 Å, 90.00 90.00 90.00°
Closest atoms and distances in Å follow each position.
Fractional coordinates of all 4 atoms:
Tc (0.0000, 0.0000, 0.5555)  1 Cl 2.48, 4 Zr 2.73
Zr (0.5000, 0.5000, 0.7073)  5 Cl 2.66-2.87, 4 Tc 2.73
Cl (0.0000, 0.0000, 0.9040)  1 Tc 2.48
Cl (0.5000, 0.5000, 0.3332)  1 Zr 2.66, 4 Tc 2.96


# 6
A relaxed structure of GaTe2HI, computed with PBE-GGA.

Computed properties:
- M_tot (μB per cell) = 0.000
- polymorph energy (0 for the lowest one) (kcal/mol of atoms) = 0.00
- SG = No. 123
- final energy (eV per atom) = -2.64

Cell: 4.4257 4.4257 7.9130 Å, 90.00 90.00 90.00°
Closest atoms and distances in Å follow each position.
Fractional coordinates of all 5 atoms:
I (0.0000, 0.0000, 0.5000)  4 Ga 3.13
H (0.0000, 0.0000, 0.0000)  4 Te 2.21
Te (0.0000, 0.5000, 0.0000)  2 H 2.21
Te (0.5000, 0.0000, 0.0000)  2 H 2.21
Ga (0.5000, 0.5000, 0.5000)  4 I 3.13